Record 1
Here is a geometry-optimized RbTlHg2Pt structure from Alexandria. Energies are from GGA-PBE.

The space group is P4/mmm (No. 123) and the conventional cell measures 5.449, 5.449 and 5.323 Å, with angles of 90.00, 90.00 and 90.00 degrees. The asymmetric unit holds Rb at (0.000, 0.000, 0.000), Tl at (0.500, 0.500, 0.000), Hg at (0.000, 0.500, 0.500) and Pt at (0.500, 0.500, 0.500).

For the energy relative to the elements, the calculation gives -0.22 eV per atom.



Record 2
Here is a geometry-optimized Hf2FeH8 structure from Alexandria. Energies are from GGA-PBE.

The space group is Immm (No. 71) and the conventional cell measures 3.159, 4.040 and 11.738 Å, with angles of 90.00, 90.00 and 90.00 degrees. The asymmetric unit holds Hf at (0.000, 0.000, 0.145), Fe at (0.000, 0.000, 0.500), H at (0.000, 0.216, 0.382), H at (0.000, 0.276, 0.000) and H at (0.000, 0.500, 0.236).



Record 3
Here is a geometry-optimized LaSc2 structure from Alexandria. Energies are from GGA-PBE.

The space group is C2/m (No. 12) and the conventional cell measures 12.200, 3.341 and 8.686 Å, with angles of 90.00, 102.72 and 90.00 degrees. The asymmetric unit holds La at (0.189, 0.000, 0.145), Sc at (0.055, 0.000, 0.764) and Sc at (0.131, 0.500, 0.487).

The energy above the most stable polymorph in this dataset comes out at 67 meV/atom. For the energy relative to the elements, the calculation gives 0.13 eV per atom.



no.,spin magnetization (Bohr magnetons per cell),total DFT energy (no corrections) (eV per atom)
1,0.00,-2.2127
2,0.64,-5.2153
3,0.00,-5.7350